# 1
A relaxed structure of PmEuYTl, computed with PBE.

E_form = -4 kJ/mol of formula units
Symmetry = F-43m
Volume = 124.8 Å³/cell
Magnetic moment = 8.45 μB per formula unit

Cell lengths 5.609, 5.609, 5.609 Å; angles 60.00, 60.00, 60.00 degrees
Last column: magnetic moment on the atom in μB.
Atoms (fractional coordinates):
Eu (0.500, 0.500, 0.500)  6.92
Y (0.000, 0.000, 0.000)  0.26
Tl (0.250, 0.250, 0.250)  -0.02
Pm (0.750, 0.750, 0.750)  0.44

=====

# 2
A relaxed structure of TbPrPu2, computed with PBE.

E_form = 117 kJ/mol of formula units
Polymorph energy (0 for the lowest one) = 0.0840 eV/atom
Symmetry = Fm-3m
Volume = 121.7 Å³/cell
Magnetic moment = 12.97 μB per formula unit

Cell lengths 5.562, 5.562, 5.562 Å; angles 60.00, 60.00, 60.00 degrees
Last column: magnetic moment on the atom in μB.
Atoms (fractional coordinates):
Pr (0.000, 0.000, 0.000)  0.23
Tb (0.500, 0.500, 0.500)  0.34
Pu (0.250, 0.250, 0.250)  5.59
Pu (0.750, 0.750, 0.750)  5.59

=====

Repeat the second record exactly.
A relaxed structure of TbPrPu2, computed with PBE.

E_form = 117 kJ/mol of formula units
Polymorph energy (0 for the lowest one) = 0.0840 eV/atom
Symmetry = Fm-3m
Volume = 121.7 Å³/cell
Magnetic moment = 12.97 μB per formula unit

Cell lengths 5.562, 5.562, 5.562 Å; angles 60.00, 60.00, 60.00 degrees
Last column: magnetic moment on the atom in μB.
Atoms (fractional coordinates):
Pr (0.000, 0.000, 0.000)  0.23
Tb (0.500, 0.500, 0.500)  0.34
Pu (0.250, 0.250, 0.250)  5.59
Pu (0.750, 0.750, 0.750)  5.59

=====

Among the records above, which one has the lowest magnetic moment? PmEuYTl

=====

The highest magnetic moment belongs to which entry? TbPrPu2